# 1
Crystalline LiGaHgRh2 at its relaxed geometry, computed with PBE-GGA.

```
LiGaHgRh2
1.0
4.6320 0.0000 0.0000
0.0000 4.6320 0.0000
0.0000 0.0000 4.9368
Li Ga Hg Rh
1 1 1 2
direct
0.0000 0.0000 0.0000 Li
0.5000 0.5000 0.5000 Ga
0.5000 0.5000 0.0000 Hg
0.0000 0.5000 0.5000 Rh
0.5000 0.0000 0.5000 Rh
```

Computed properties:
energy of formation from the pure elements = 216 kJ/mol of formula units
total magnetic moment = 0.0 μB per formula unit
electronic total energy = -17.7 eV/f.u.
offset from the most stable computed form = 0.00 eV/f.u.
volume = 21.18 A^3/atom
mass density = 7.57 g/cm³
symmetry = P4/mmm, No. 123



# 2
Crystalline Sr2LaBe at its relaxed geometry, computed with PBE-GGA.

```
Sr2LaBe
1.0
4.5580 0.0000 0.0000
0.0000 5.4188 0.0000
0.0000 0.0000 5.6203
Sr La Be
2 1 1
direct
0.0000 0.0000 0.0000 Sr
0.5000 0.5000 0.0000 Sr
0.0000 0.5000 0.5000 La
0.5000 0.0000 0.5000 Be
```

Computed properties:
energy of formation from the pure elements = 196 kJ/mol of formula units
total magnetic moment = 0.0 μB per formula unit
electronic total energy = -10.0 eV/f.u.
volume = 34.70 A^3/atom
mass density = 3.87 g/cm³
symmetry = Pmmm, No. 47



# 3
Crystalline TlPd5Au6 at its relaxed geometry, computed with PBE-GGA.

```
TlPd5Au6
1.0
-2.0794 4.0758 6.1168
2.0794 -4.0758 6.1168
2.0794 4.0758 -6.1168
Tl Pd Au
1 5 6
direct
0.0000 0.0000 0.0000 Tl
0.1577 0.6577 0.5000 Pd
0.3263 0.3263 0.0000 Pd
0.5000 0.0000 0.5000 Pd
0.6737 0.6737 0.0000 Pd
0.8423 0.3423 0.5000 Pd
0.0902 0.8300 0.2602 Au
0.2693 0.5000 0.7693 Au
0.4303 0.1700 0.2602 Au
0.5697 0.8300 0.7398 Au
0.7307 0.5000 0.2307 Au
0.9098 0.1700 0.7398 Au
```

Computed properties:
energy of formation from the pure elements = -99 kJ/mol of formula units
total magnetic moment = 0.0 μB per formula unit
electronic total energy = -49.0 eV/f.u.
offset from the most stable computed form = 0.00 eV/f.u.
volume = 17.28 A^3/atom
mass density = 15.36 g/cm³
symmetry = Immm, No. 71



# 4
Crystalline BaYThN3 at its relaxed geometry, computed with PBE-GGA.

```
BaYThN3
1.0
7.6149 0.0000 0.0000
0.0000 3.6897 0.0000
-0.1998 0.0000 9.9115
Ba Y Th N
2 2 2 6
direct
0.1360 0.2500 0.2020 Ba
0.8640 0.7500 0.7980 Ba
0.1562 0.2500 0.5685 Y
0.8438 0.7500 0.4315 Y
0.3795 0.7500 0.8700 Th
0.6205 0.2500 0.1300 Th
0.1409 0.7500 0.4362 N
0.1922 0.2500 0.8049 N
0.4021 0.7500 0.0982 N
0.5979 0.2500 0.9018 N
0.8078 0.7500 0.1951 N
0.8591 0.2500 0.5638 N
```

Computed properties:
total magnetic moment = 0.0 μB per formula unit
electronic total energy = -47.6 eV/f.u.
uncorrected formation energy = -1.131 eV/atom
volume = 23.21 A^3/atom
mass density = 5.97 g/cm³
symmetry = P2_1/m, No. 11



# 5
Crystalline K4LaEr3Te8 at its relaxed geometry, computed with PBE-GGA.

```
K4LaEr3Te8
1.0
4.5302 2.6155 8.2383
-4.5302 2.6155 8.2383
0.0000 -5.2310 8.2383
K La Er Te
4 1 3 8
direct
0.0000 0.0000 0.0000 K
0.0000 0.5000 0.5000 K
0.5000 0.0000 0.5000 K
0.5000 0.5000 0.0000 K
0.5000 0.5000 0.5000 La
0.0000 0.0000 0.5000 Er
0.0000 0.5000 0.0000 Er
0.5000 0.0000 0.0000 Er
0.2252 0.7425 0.7425 Te
0.2351 0.2351 0.2351 Te
0.2575 0.2575 0.7748 Te
0.2575 0.7748 0.2575 Te
0.7425 0.2252 0.7425 Te
0.7425 0.7425 0.2252 Te
0.7649 0.7649 0.7649 Te
0.7748 0.2575 0.2575 Te
```

Computed properties:
total magnetic moment = 0.0 μB per formula unit
electronic total energy = -70.6 eV/f.u.
uncorrected formation energy = -1.405 eV/atom
volume = 36.61 A^3/atom
mass density = 5.15 g/cm³
symmetry = R-3m, No. 166



# 6
Crystalline CrP2W at its relaxed geometry, computed with PBE-GGA.

```
CrP2W
1.0
3.0801 0.0000 0.0000
0.0000 3.0801 0.0000
0.0000 0.0000 5.4460
Cr P W
1 2 1
direct
0.0000 0.0000 0.0000 Cr
0.0000 0.0000 0.4451 P
0.5000 0.5000 0.1633 P
0.5000 0.5000 0.6516 W
```

Computed properties:
energy of formation from the pure elements = -119 kJ/mol of formula units
total magnetic moment = 0.0 μB per formula unit
electronic total energy = -34.6 eV/f.u.
offset from the most stable computed form = 0.56 eV/f.u.
volume = 12.92 A^3/atom
mass density = 9.57 g/cm³
symmetry = P4mm, No. 99



# 7
Crystalline SmErGePd at its relaxed geometry, computed with PBE-GGA.

```
SmErGePd
1.0
4.3106 0.0000 0.0000
0.0000 1.9717 5.4990
0.0000 -1.9717 5.4990
Sm Er Ge Pd
1 1 1 1
direct
0.0000 0.0000 0.0000 Sm
0.5000 0.7222 0.7222 Er
0.0000 0.2746 0.2746 Ge
0.5000 0.4365 0.4365 Pd
```

Computed properties:
energy of formation from the pure elements = -334 kJ/mol of formula units
total magnetic moment = 0.0 μB per formula unit
electronic total energy = -22.6 eV/f.u.
offset from the most stable computed form = 0.00 eV/f.u.
volume = 23.37 A^3/atom
mass density = 8.82 g/cm³
symmetry = Amm2, No. 38



# 8
Crystalline BaThZn2 at its relaxed geometry, computed with PBE-GGA.

```
BaThZn2
1.0
3.8116 0.0000 0.0000
0.0000 3.8116 0.0000
0.0000 0.0000 7.9330
Ba Th Zn
1 1 2
direct
0.0000 0.0000 0.0000 Ba
0.0000 0.0000 0.5000 Th
0.5000 0.5000 0.2935 Zn
0.5000 0.5000 0.7065 Zn
```

Computed properties:
energy of formation from the pure elements = -51 kJ/mol of formula units
total magnetic moment = 0.0 μB per formula unit
electronic total energy = -12.4 eV/f.u.
offset from the most stable computed form = 0.00 eV/f.u.
volume = 28.81 A^3/atom
mass density = 7.21 g/cm³
symmetry = P4/mmm, No. 123



# 9
Crystalline Tc3NiPd at its relaxed geometry, computed with PBE-GGA.

```
Tc3NiPd
1.0
4.6455 0.0000 0.0000
0.0000 4.6455 0.0000
0.0000 0.0000 4.6455
Tc Ni Pd
3 1 1
direct
0.0000 0.0000 0.5000 Tc
0.0000 0.5000 0.0000 Tc
0.5000 0.0000 0.0000 Tc
0.5000 0.5000 0.5000 Ni
0.0000 0.0000 0.0000 Pd
```

Computed properties:
energy of formation from the pure elements = 1155 kJ/mol of formula units
total magnetic moment = 0.0 μB per formula unit
electronic total energy = -30.1 eV/f.u.
offset from the most stable computed form = 4.93 eV/f.u.
volume = 20.05 A^3/atom
mass density = 7.60 g/cm³
symmetry = Pm-3m, No. 221



# 10
Crystalline Sr2LiAl12Ni3 at its relaxed geometry, computed with PBE-GGA.

```
Sr2LiAl12Ni3
1.0
4.4068 2.5442 6.0900
-4.4068 2.5442 6.0900
0.0000 -5.0885 6.0900
Sr Li Al Ni
2 1 12 3
direct
0.1025 0.1025 0.1025 Sr
0.8975 0.8975 0.8975 Sr
0.5000 0.5000 0.5000 Li
0.1399 0.6186 0.6186 Al
0.2299 0.2299 0.5824 Al
0.2299 0.5824 0.2299 Al
0.3814 0.3814 0.8601 Al
0.3814 0.8601 0.3814 Al
0.4176 0.7701 0.7701 Al
0.5824 0.2299 0.2299 Al
0.6186 0.1399 0.6186 Al
0.6186 0.6186 0.1399 Al
0.7701 0.4176 0.7701 Al
0.7701 0.7701 0.4176 Al
0.8601 0.3814 0.3814 Al
0.0000 0.5000 0.5000 Ni
0.5000 0.0000 0.5000 Ni
0.5000 0.5000 0.0000 Ni
```

Computed properties:
energy of formation from the pure elements = 60 kJ/mol of formula units
total magnetic moment = 0.0 μB per formula unit
electronic total energy = -66.9 eV/f.u.
volume = 22.76 A^3/atom
mass density = 2.76 g/cm³
symmetry = R-3m, No. 166